Below is a geometry-optimized Li2Mo2O5 structure, with properties calculated at the GGA+U level.

a b c (Å): 13.897 5.316 5.631
angles (deg): 90.00 90.00 90.00
Space group Ima2 (No. 46)
Inequivalent atoms, fractional coordinates:
Li  0.122  0.003  0.000 x8
Mo  0.000  0.000  0.422 x4
Mo  0.250  0.524  0.052 x4
O  0.046  0.749  0.171 x8
O  0.143  0.146  0.405 x8
O  0.250  0.634  0.394 x4

Summary:
Its total energy is -6.479 eV per atom.

Below is a geometry-optimized Li8MoO6 structure, with properties calculated at the GGA+U level.

a b c (Å): 5.7091 5.7091 10.8457
angles (deg): 90.00 90.00 120.00
Space group P6_3cm (No. 185)
Inequivalent atoms, fractional coordinates:
Li  0.0000  0.3194  0.0000 x6
Li  0.0000  0.3968  0.3634 x6
Li  0.3333  0.6667  0.1398 x4
Mo  0.0000  0.0000  0.2229 x2
O  0.0000  0.0000  0.4109 x2
O  0.0000  0.3307  0.1841 x6
O  0.3333  0.6667  0.4492 x4

Summary:
The calculation puts the density of states at the Fermi level at 0.0 states/eV/f.u. Its total energy is -5.282 eV per atom.